CaRe | PBE-GGA | optimized geometry

Calculated values
* crystal system: tetragonal
* energy above the lowest structure with this stoichiometry: 0.533 eV/atom
* ΔH_f (0 K): 835 meV/atom
* N(E_F): 0.951 states/eV/atom
* SG: P4/mmm (123)

```
CaRe
1.0
2.7548 0.0000 0.0000
0.0000 2.7548 0.0000
0.0000 0.0000 5.0634
Ca Re
1 1
Direct
0.0000 0.0000 0.0000
0.5000 0.5000 0.5000
```